Record 1
## LiReH2 (PBE)

Data for LiReH2 after structural relaxation.

Computed properties:
Offset from the most stable computed form: 68 meV per atom
Calculated volume: 132 Å³ per cell

Cell lengths 4.615, 4.615, 6.188 Å; angles 90.00, 90.00, 90.00 degrees
Space group I-42d (No. 122)
Inequivalent atoms, fractional coordinates:
Li1 0.000 0.000 0.000 x4
Re1 0.000 0.000 0.500 x4
H1 0.249 0.750 0.625 x8

---

Record 2
## LiRe2H (PBE)

Data for LiRe2H after structural relaxation.

Computed properties:
Offset from the most stable computed form: 251 meV per atom
Calculated volume: 173 Å³ per cell

Cell lengths 5.573, 5.573, 5.573 Å; angles 90.00, 90.00, 90.00 degrees
Space group Fm-3m (No. 225)
Inequivalent atoms, fractional coordinates:
Li1 0.000 0.000 0.000 x4
Re1 0.250 0.250 0.250 x8
H1 0.000 0.000 0.500 x4

---

Record 3
## LiRe2H (PBE)

Data for LiRe2H after structural relaxation.

Computed properties:
Offset from the most stable computed form: 0 meV per atom
Calculated volume: 465 Å³ per cell

Cell lengths 7.748, 7.748, 7.748 Å; angles 90.00, 90.00, 90.00 degrees
Space group Fd-3m (No. 227, origin choice 2)
Inequivalent atoms, fractional coordinates:
Li1 0.125 0.125 0.125 x8
Re1 0.000 0.000 0.500 x16
H1 0.125 0.125 0.625 x8

---

Record 4
## Li2ReH (PBE)

Data for Li2ReH after structural relaxation.

Computed properties:
Offset from the most stable computed form: 888 meV per atom
Calculated volume: 206 Å³ per cell

Cell lengths 5.906, 5.906, 5.906 Å; angles 90.00, 90.00, 90.00 degrees
Space group Fm-3m (No. 225)
Inequivalent atoms, fractional coordinates:
Li1 0.250 0.250 0.250 x8
Re1 0.000 0.000 0.000 x4
H1 0.000 0.000 0.500 x4

---

Record 5
## LiH3Rh (PBE)

Data for LiH3Rh after structural relaxation.

Computed properties:
Calculated volume: 75 Å³ per cell
VASP energy: -41.1 eV/cell

Cell lengths 2.932, 4.635, 5.499 Å; angles 90.00, 90.00, 90.00 degrees
Space group Pmmn (No. 59, origin choice 2)
Inequivalent atoms, fractional coordinates:
Li1 0.250 0.250 0.126 x2
H1 0.250 0.011 0.658 x4
H2 0.250 0.750 0.079 x2
Rh1 0.250 0.750 0.379 x2

---

Record 6
## LiH3Rh (PBE)

Data for LiH3Rh after structural relaxation.

Computed properties:
Calculated volume: 664 Å³ per cell
VASP energy: -327.8 eV/cell

Cell lengths 8.726, 8.726, 8.726 Å; angles 90.00, 90.00, 90.00 degrees
Space group Fd-3m (No. 227, origin choice 2)
Inequivalent atoms, fractional coordinates:
Li1 0.000 0.000 0.000 x16
H1 0.093 0.375 0.875 x48
Rh1 0.000 0.000 0.500 x16

---

Record 7
## LiH3Rh (PBE)

Data for LiH3Rh after structural relaxation.

Computed properties:
Calculated volume: 208 Å³ per cell
VASP energy: -77.9 eV/cell

Cell lengths 2.915, 15.189, 4.698 Å; angles 90.00, 90.00, 90.00 degrees
Space group Cmcm (No. 63)
Inequivalent atoms, fractional coordinates:
Li1 0.000 0.071 0.250 x4
H1 0.000 0.500 0.000 x4
H2 0.168 0.174 0.750 x8
Rh1 0.000 0.416 0.250 x4

---

Record 8
## Li3H7Rh2 (PBE)

Data for Li3H7Rh2 after structural relaxation.

Computed properties:
Calculated volume: 200 Å³ per cell
VASP energy: -96.0 eV/cell

Cell lengths 3.456, 17.137, 3.374 Å; angles 90.00, 90.00, 90.00 degrees
Space group Cmmm (No. 65)
Inequivalent atoms, fractional coordinates:
Li1 0.000 0.000 0.000 x2
Li2 0.000 0.177 0.000 x4
H1 0.000 0.102 0.500 x4
H2 0.000 0.300 0.500 x4
H3 0.000 0.409 0.000 x4
H4 0.000 0.500 0.500 x2
Rh1 0.000 0.398 0.500 x4

---

Record 9
## Li2H2Rh (PBE)

Data for Li2H2Rh after structural relaxation.

Computed properties:
Calculated volume: 90 Å³ per cell
VASP energy: -38.4 eV/cell

Cell lengths 5.184, 5.184, 3.361 Å; angles 90.00, 90.00, 90.00 degrees
Space group P4/mbm (No. 127)
Inequivalent atoms, fractional coordinates:
Li1 0.165 0.335 0.000 x4
H1 0.205 0.705 0.500 x4
Rh1 0.000 0.000 0.500 x2

---

Record 10
## LiH3Rh (PBE)

Data for LiH3Rh after structural relaxation.

Computed properties:
Calculated volume: 88 Å³ per cell
VASP energy: -41.1 eV/cell

Cell lengths 3.494, 5.540, 4.883 Å; angles 90.00, 110.83, 90.00 degrees
Space group P2_1/m (No. 11)
Inequivalent atoms, fractional coordinates:
Li1 0.200 0.250 0.402 x2
H1 0.017 0.750 0.035 x2
H2 0.380 0.510 0.758 x4
Rh1 0.491 0.250 0.982 x2

---

Record 11
## LiH3Rh (PBE)

Data for LiH3Rh after structural relaxation.

Computed properties:
Calculated volume: 162 Å³ per cell
VASP energy: -78.7 eV/cell

Cell lengths 2.867, 12.612, 4.489 Å; angles 90.00, 90.00, 90.00 degrees
Space group Cmcm (No. 63)
Inequivalent atoms, fractional coordinates:
Li1 0.000 0.135 0.250 x4
H1 0.000 0.000 0.000 x4
H2 0.245 0.184 0.750 x8
Rh1 0.000 0.429 0.250 x4

---

Record 12
## Li3H6Rh2 (PBE)

Data for Li3H6Rh2 after structural relaxation.

Computed properties:
Calculated volume: 181 Å³ per cell
VASP energy: -89.1 eV/cell

Cell lengths 3.366, 3.366, 16.011 Å; angles 90.00, 90.00, 90.00 degrees
Space group I4/mmm (No. 139)
Inequivalent atoms, fractional coordinates:
Li1 0.000 0.000 0.000 x2
Li2 0.000 0.000 0.182 x4
H1 0.000 0.000 0.302 x4
H2 0.000 0.500 0.074 x8
Rh1 0.000 0.000 0.407 x4

---

Repeat the second record exactly.
## LiRe2H (PBE)

Data for LiRe2H after structural relaxation.

Computed properties:
Offset from the most stable computed form: 251 meV per atom
Calculated volume: 173 Å³ per cell

Cell lengths 5.573, 5.573, 5.573 Å; angles 90.00, 90.00, 90.00 degrees
Space group Fm-3m (No. 225)
Inequivalent atoms, fractional coordinates:
Li1 0.000 0.000 0.000 x4
Re1 0.250 0.250 0.250 x8
H1 0.000 0.000 0.500 x4

---

Please write out number 7 again, unchanged.
## LiH3Rh (PBE)

Data for LiH3Rh after structural relaxation.

Computed properties:
Calculated volume: 208 Å³ per cell
VASP energy: -77.9 eV/cell

Cell lengths 2.915, 15.189, 4.698 Å; angles 90.00, 90.00, 90.00 degrees
Space group Cmcm (No. 63)
Inequivalent atoms, fractional coordinates:
Li1 0.000 0.071 0.250 x4
H1 0.000 0.500 0.000 x4
H2 0.168 0.174 0.750 x8
Rh1 0.000 0.416 0.250 x4